1.
Entry from the Alexandria database: PmPr2Nd3As6 after structural relaxation (PBE).

**Energy**: -6.2193 eV per atom

Lattice parameters (Å, degrees): 18.6473 4.2812 8.5562 90.00 103.27 90.00
Closest atoms and distances in Å follow each position.
Space group C2/m (No. 12)
Unique sites:
Pm (0.0000, 0.0000, 0.0000) (multiplicity 2)  6 As 3.01-3.02
Pr (0.1663, 0.5000, 0.3326) (multiplicity 4)  6 As 3.03-3.04
Nd (0.0000, 0.0000, 0.5000) (multiplicity 2)  6 As 3.02-3.04
Nd (0.1668, 0.5000, 0.8335) (multiplicity 4)  6 As 3.02-3.03
As (0.0007, 0.5000, 0.7518) (multiplicity 4)  3 Nd 3.02-3.04, 2 Pm 3.02, 1 Pr 3.03
As (0.1660, 0.0000, 0.0814) (multiplicity 4)  1 Pm 3.01, 3 Nd 3.02-3.03, 2 Pr 3.03
As (0.1662, 0.0000, 0.5844) (multiplicity 4)  3 Nd 3.02, 3 Pr 3.04



2.
Entry from the Alexandria database: Pm2PrNd3As6 after structural relaxation (PBE).

**Energy**: -6.2216 eV per atom

Lattice parameters (Å, degrees): 7.3915 12.7999 7.3920 90.00 109.44 90.00
Closest atoms and distances in Å follow each position.
Space group C2/m (No. 12)
Unique sites:
Pm (0.0000, 0.1668, 0.0000) (multiplicity 4)  6 As 3.01
Pr (0.0000, 0.5000, 0.0000) (multiplicity 2)  6 As 3.03
Nd (0.0000, 0.0000, 0.5000) (multiplicity 2)  6 As 3.01-3.03
Nd (0.0000, 0.3338, 0.5000) (multiplicity 4)  6 As 3.01-3.03
As (0.2475, 0.0000, 0.2492) (multiplicity 4)  3 Nd 3.01-3.02, 2 Pm 3.01, 1 Pr 3.03
As (0.2491, 0.1678, 0.7506) (multiplicity 8)  2 Pm 3.01, 3 Nd 3.01-3.03, 1 Pr 3.03



3.
Entry from the Alexandria database: PmNdAs2Pt2 after structural relaxation (PBE).

**Energy**: -6.3867 eV per atom

Lattice parameters (Å, degrees): 4.3331 4.3331 8.0688 90.00 90.00 120.00
Closest atoms and distances in Å follow each position.
Space group P-3m1 (No. 164)
Unique sites:
Pm (0.0000, 0.0000, 0.0000) (multiplicity 1)  6 Pt 3.17, 6 As 3.25
Nd (0.0000, 0.0000, 0.5000) (multiplicity 1)  6 As 3.18, 6 Pt 3.26
As (0.3333, 0.6667, 0.7432) (multiplicity 2)  3 Pt 2.50
Pt (0.3333, 0.6667, 0.2411) (multiplicity 2)  3 As 2.50



4.
Entry from the Alexandria database: Pm2NdPuAs4 after structural relaxation (PBE).

**Energy**: -7.2843 eV per atom

Lattice parameters (Å, degrees): 7.3051 4.2267 7.3060 90.00 109.46 90.00
Closest atoms and distances in Å follow each position.
Space group P2/m (No. 10)
Unique sites:
Pm (0.0000, 0.0000, 0.0000) (multiplicity 1)  6 As 2.97-2.98
Pm (0.0000, 0.5000, 0.5000) (multiplicity 1)  6 As 3.02
Nd (0.5000, 0.0000, 0.5000) (multiplicity 1)  6 As 2.99
Pu (0.5000, 0.5000, 0.0000) (multiplicity 1)  6 As 2.94-2.95
As (0.2519, 0.5000, 0.2453) (multiplicity 2)  1 Pu 2.94, 3 Pm 2.98-3.02, 2 Nd 2.99
As (0.2557, 0.0000, 0.7571) (multiplicity 2)  2 Pu 2.95, 3 Pm 2.97-3.02, 1 Nd 2.99



5.
Entry from the Alexandria database: PmNd2PuAs4 after structural relaxation (PBE).

**Energy**: -7.2835 eV per atom

Lattice parameters (Å, degrees): 7.3191 4.2351 7.3200 90.00 109.46 90.00
Closest atoms and distances in Å follow each position.
Space group P2/m (No. 10)
Unique sites:
Pm (0.0000, 0.0000, 0.0000) (multiplicity 1)  6 As 2.98
Nd (0.0000, 0.5000, 0.5000) (multiplicity 1)  6 As 3.04
Nd (0.5000, 0.0000, 0.5000) (multiplicity 1)  6 As 3.00
Pu (0.5000, 0.5000, 0.0000) (multiplicity 1)  6 As 2.94
As (0.2526, 0.5000, 0.2446) (multiplicity 2)  1 Pu 2.94, 2 Pm 2.98, 3 Nd 3.00-3.04
As (0.2572, 0.0000, 0.7586) (multiplicity 2)  2 Pu 2.94, 1 Pm 2.98, 3 Nd 3.00-3.04



6.
Entry from the Alexandria database: PmNdAs2Rh2 after structural relaxation (PBE).

**Energy**: -6.6638 eV per atom

Lattice parameters (Å, degrees): 4.2525 4.2525 8.1389 90.00 90.00 120.00
Closest atoms and distances in Å follow each position.
Space group P-3m1 (No. 164)
Unique sites:
Pm (0.0000, 0.0000, 0.0000) (multiplicity 1)  6 As 3.18, 6 Rh 3.18
Nd (0.0000, 0.0000, 0.5000) (multiplicity 1)  6 Rh 3.20, 6 As 3.20
As (0.3333, 0.6667, 0.7519) (multiplicity 2)  3 Rh 2.46
Rh (0.3333, 0.6667, 0.2482) (multiplicity 2)  3 As 2.46



7.
Entry from the Alexandria database: PmNdAs2Rh5 after structural relaxation (PBE).

**Energy**: -6.9365 eV per atom

Lattice parameters (Å, degrees): 4.2814 4.2814 8.9331 90.00 90.00 90.00
Closest atoms and distances in Å follow each position.
Space group P4/mmm (No. 123)
Unique sites:
Pm (0.0000, 0.0000, 0.0000) (multiplicity 1)  12 Rh 2.98-3.03
Nd (0.0000, 0.0000, 0.5000) (multiplicity 1)  8 Rh 3.21, 8 As 3.31
As (0.5000, 0.5000, 0.3490) (multiplicity 2)  4 Rh 2.38
Rh (0.0000, 0.5000, 0.2318) (multiplicity 4)  2 As 2.38
Rh (0.5000, 0.5000, 0.0000) (multiplicity 1)  8 Rh 2.98, 4 Pm 3.03, 2 As 3.12



8.
Entry from the Alexandria database: PmNdAsS after structural relaxation (PBE).

**Uncorrected formation energy**: -1800.6 meV per atom
**Energy**: -6.3744 eV per atom

Lattice parameters (Å, degrees): 4.1704 4.1704 20.2840 90.00 90.00 120.00
Closest atoms and distances in Å follow each position.
Space group R3m (No. 160, hexagonal axes)
Unique sites:
Pm (0.0000, 0.0000, 0.0000) (multiplicity 3)  3 S 2.92, 3 As 2.94
Nd (0.0000, 0.0000, 0.5013) (multiplicity 3)  3 S 2.94, 3 As 2.96
As (0.0000, 0.0000, 0.7499) (multiplicity 3)  3 Pm 2.94, 3 Nd 2.96
S (0.0000, 0.0000, 0.2515) (multiplicity 3)  3 Pm 2.92, 3 Nd 2.94



9.
Entry from the Alexandria database: Pm2NdScAs4 after structural relaxation (PBE).

**Energy**: -6.3452 eV per atom

Lattice parameters (Å, degrees): 7.2103 4.1739 7.2126 90.00 109.49 90.00
Closest atoms and distances in Å follow each position.
Space group P2/m (No. 10)
Unique sites:
Pm (0.0000, 0.0000, 0.0000) (multiplicity 1)  6 As 3.03
Pm (0.5000, 0.5000, 0.0000) (multiplicity 1)  6 As 2.94
Nd (0.0000, 0.5000, 0.5000) (multiplicity 1)  6 As 2.95-2.96
Sc (0.5000, 0.0000, 0.5000) (multiplicity 1)  6 As 2.86-2.87
As (0.2585, 0.0000, 0.7443) (multiplicity 2)  1 Sc 2.86, 3 Pm 2.94-3.03, 2 Nd 2.96
As (0.2648, 0.5000, 0.2635) (multiplicity 2)  2 Sc 2.87, 3 Pm 2.94-3.03, 1 Nd 2.95



10.
Entry from the Alexandria database: PmNdSc2As4 after structural relaxation (PBE).

**Energy**: -6.5161 eV per atom

Lattice parameters (Å, degrees): 7.0254 4.0833 7.0674 90.00 109.60 90.00
Closest atoms and distances in Å follow each position.
Space group P2/m (No. 10)
Unique sites:
Pm (0.0000, 0.0000, 0.0000) (multiplicity 1)  6 As 2.97
Nd (0.0000, 0.5000, 0.5000) (multiplicity 1)  6 As 2.97-2.98
Sc (0.5000, 0.0000, 0.5000) (multiplicity 1)  6 As 2.80
Sc (0.5000, 0.5000, 0.0000) (multiplicity 1)  6 As 2.79
As (0.2730, 0.5000, 0.2567) (multiplicity 2)  3 Sc 2.79-2.80, 2 Pm 2.97, 1 Nd 2.97
As (0.2737, 0.0000, 0.7589) (multiplicity 2)  3 Sc 2.79-2.80, 1 Pm 2.97, 2 Nd 2.98



11.
Entry from the Alexandria database: PmNdAsSe after structural relaxation (PBE).

**Uncorrected formation energy**: -1737.2 meV per atom
**Energy**: -6.1503 eV per atom

Lattice parameters (Å, degrees): 4.2303 4.2303 20.8814 90.00 90.00 120.00
Closest atoms and distances in Å follow each position.
Space group R3m (No. 160, hexagonal axes)
Unique sites:
Pm (0.0000, 0.0000, 0.0000) (multiplicity 3)  3 As 2.95, 3 Se 3.03
Nd (0.0000, 0.0000, 0.4926) (multiplicity 3)  3 As 2.96, 3 Se 3.05
As (0.0000, 0.0000, 0.7455) (multiplicity 3)  3 Pm 2.95, 3 Nd 2.96
Se (0.0000, 0.0000, 0.2471) (multiplicity 3)  3 Pm 3.03, 3 Nd 3.05



12.
Entry from the Alexandria database: Pm2Nd3SmAs6 after structural relaxation (PBE).

**Energy**: -6.2212 eV per atom

Lattice parameters (Å, degrees): 18.5289 4.2540 8.5009 90.00 103.28 90.00
Closest atoms and distances in Å follow each position.
Space group C2/m (No. 12)
Unique sites:
Pm (0.1665, 0.0000, 0.3331) (multiplicity 4)  6 As 3.00
Nd (0.0000, 0.5000, 0.5000) (multiplicity 2)  6 As 3.01-3.02
Nd (0.1668, 0.0000, 0.8334) (multiplicity 4)  6 As 3.01-3.02
Sm (0.0000, 0.5000, 0.0000) (multiplicity 2)  6 As 2.99
As (0.0004, 0.0000, 0.2478) (multiplicity 4)  2 Sm 2.99, 1 Pm 3.00, 3 Nd 3.01-3.02
As (0.1658, 0.5000, 0.0841) (multiplicity 4)  1 Sm 2.99, 2 Pm 3.00, 3 Nd 3.01-3.02
As (0.1671, 0.5000, 0.5821) (multiplicity 4)  3 Pm 3.00, 3 Nd 3.01-3.02



Q: What is the energy in the second record?
A: -6.2216 eV per atom



Copy entry 10 word for word.
Entry from the Alexandria database: PmNdSc2As4 after structural relaxation (PBE).

**Energy**: -6.5161 eV per atom

Lattice parameters (Å, degrees): 7.0254 4.0833 7.0674 90.00 109.60 90.00
Closest atoms and distances in Å follow each position.
Space group P2/m (No. 10)
Unique sites:
Pm (0.0000, 0.0000, 0.0000) (multiplicity 1)  6 As 2.97
Nd (0.0000, 0.5000, 0.5000) (multiplicity 1)  6 As 2.97-2.98
Sc (0.5000, 0.0000, 0.5000) (multiplicity 1)  6 As 2.80
Sc (0.5000, 0.5000, 0.0000) (multiplicity 1)  6 As 2.79
As (0.2730, 0.5000, 0.2567) (multiplicity 2)  3 Sc 2.79-2.80, 2 Pm 2.97, 1 Nd 2.97
As (0.2737, 0.0000, 0.7589) (multiplicity 2)  3 Sc 2.79-2.80, 1 Pm 2.97, 2 Nd 2.98



Q: Number 2 is which compound?
A: Pm2PrNd3As6